Material: Sr2Zn3CdPt4
Method: DFT, PBE
State: relaxed

abc: 4.299 4.299 11.193
angles: 90.00 90.00 90.00
Element x y z (fractional)
Sr 0.000 0.500 0.237
Sr 0.500 0.000 0.763
Zn 0.000 0.500 0.875
Zn 0.500 0.000 0.125
Zn 0.500 0.500 0.500
Cd 0.000 0.000 0.500
Pt 0.000 0.000 0.000
Pt 0.000 0.500 0.649
Pt 0.500 0.000 0.351
Pt 0.500 0.500 0.000

Output
For the total energy, the calculation gives -38.79 eV per cell. The density of states at the Fermi level is 3.39 states/eV/f.u.